Computed, not measured: a geometry-optimized DyHO structure at the PBE level of DFT.

Unit cell a=3.208 b=3.430 c=3.430 alpha=120.00 beta=90.00 gamma=90.00
Fractional positions:
H 0.834 0.667 0.333
O 0.333 0.333 0.667
Dy 0.833 0.000 0.000

Output
Its space-group type is P-6m2, No. 187. For the relative energy among the computed polymorphs, the calculation gives 32.5 kJ/mol of atoms.

Computed, not measured: a geometry-optimized Li3Th3CuS8 structure at the PBE level of DFT.

Unit cell a=8.288 b=7.960 c=7.772 alpha=121.76 beta=90.00 gamma=121.37
Fractional positions:
Li 0.000 0.000 0.000
Li 0.000 0.500 0.000
Li 0.500 0.500 0.000
Th 0.500 0.000 0.500
Th 0.500 0.500 0.500
Th 0.000 0.500 0.500
Cu 0.000 0.000 0.500
S 0.238 0.475 0.235
S 0.762 0.525 0.765
S 0.781 0.563 0.291
S 0.219 0.437 0.709
S 0.730 0.992 0.244
S 0.270 0.008 0.756
S 0.262 0.992 0.244
S 0.738 0.008 0.756

Output
Its space-group type is C2/m, No. 12. The uncorrected formation energy is -1.457 eV per atom.

Total magnetic moment? In order: 0.00, 0.00 Bohr magnetons per cell.
N(E_F)? In order: 0.00, 0.32 states/eV per cell.